# Sc8C3S3O, relaxed, DFT GGA-PBE
data_Sc8C3S3O
_chemical_formula_sum 'Sc8 C3 S3 O1'
_space_group_name_H-M_alt 'P 1'
_space_group_IT_number 1
_cell_length_a 7.0315
_cell_length_b 7.0315
_cell_length_c 7.0315
_cell_angle_alpha 57.99
_cell_angle_beta 57.99
_cell_angle_gamma 57.99
loop_
_space_group_symop_operation_xyz
'x,y,z'
loop_
_atom_site_label
_atom_site_type_symbol
_atom_site_fract_x
_atom_site_fract_y
_atom_site_fract_z
Sc1 Sc 0.2289 0.7411 0.7411
Sc2 Sc 0.2365 0.2365 0.2365
Sc3 Sc 0.2589 0.2589 0.7711
Sc4 Sc 0.2589 0.7711 0.2589
Sc5 Sc 0.7411 0.2289 0.7411
Sc6 Sc 0.7411 0.7411 0.2289
Sc7 Sc 0.7635 0.7635 0.7635
Sc8 Sc 0.7711 0.2589 0.2589
C1 C 0.0000 0.0000 0.5000
C2 C 0.0000 0.5000 0.0000
C3 C 0.5000 0.0000 0.0000
S1 S 0.0000 0.5000 0.5000
S2 S 0.5000 0.0000 0.5000
S3 S 0.5000 0.5000 0.0000
O1 O 0.5000 0.5000 0.5000
# D(E_F), states/eV/atom: 0.396
# ΔE_f (raw), eV/atom: -1.468
# Energy, eV per atom: -7.85

***

# Si2Os, relaxed, DFT GGA-PBE
data_Si2Os
_chemical_formula_sum 'Si6 Os3'
_space_group_name_H-M_alt 'P 1'
_space_group_IT_number 1
_cell_length_a 6.8948
_cell_length_b 6.8948
_cell_length_c 2.9862
_cell_angle_alpha 90.00
_cell_angle_beta 90.00
_cell_angle_gamma 120.00
loop_
_space_group_symop_operation_xyz
'x,y,z'
loop_
_atom_site_label
_atom_site_type_symbol
_atom_site_fract_x
_atom_site_fract_y
_atom_site_fract_z
Si1 Si 0.0000 0.2853 0.0000
Si2 Si 0.0000 0.6239 0.5000
Si3 Si 0.2853 0.0000 0.0000
Si4 Si 0.3761 0.3761 0.5000
Si5 Si 0.6239 0.0000 0.5000
Si6 Si 0.7147 0.7147 0.0000
Os1 Os 0.0000 0.0000 0.5000
Os2 Os 0.3333 0.6667 0.0000
Os3 Os 0.6667 0.3333 0.0000
# D(E_F), states/eV/atom: 0.455
# ΔE_f (raw), eV/atom: -0.217
# Energy, eV per atom: -7.58

***

# K3Ac2TbSe6, relaxed, DFT GGA-PBE
data_K3Ac2TbSe6
_chemical_formula_sum 'K3 Ac2 Tb1 Se6'
_space_group_name_H-M_alt 'P 1'
_space_group_IT_number 1
_cell_length_a 7.7393
_cell_length_b 7.7393
_cell_length_c 8.1428
_cell_angle_alpha 99.14
_cell_angle_beta 99.14
_cell_angle_gamma 120.01
loop_
_space_group_symop_operation_xyz
'x,y,z'
loop_
_atom_site_label
_atom_site_type_symbol
_atom_site_fract_x
_atom_site_fract_y
_atom_site_fract_z
K1 K 0.0000 0.0000 0.0000
K2 K 0.3326 0.6674 0.0000
K3 K 0.6674 0.3326 0.0000
Ac1 Ac 0.1665 0.8335 0.5000
Ac2 Ac 0.8335 0.1665 0.5000
Tb1 Tb 0.5000 0.5000 0.5000
Se1 Se 0.1128 0.4288 0.2865
Se2 Se 0.2554 0.2554 0.7126
Se3 Se 0.4288 0.1128 0.2865
Se4 Se 0.5712 0.8872 0.7135
Se5 Se 0.7446 0.7446 0.2874
Se6 Se 0.8872 0.5712 0.7135
# D(E_F), states/eV/atom: 0.000
# ΔE_f (raw), eV/atom: -1.790
# Energy, eV per atom: -4.88

***

# Nb3H3Pt, relaxed, DFT GGA-PBE
data_Nb3H3Pt
_chemical_formula_sum 'Nb6 H6 Pt2'
_space_group_name_H-M_alt 'P 1'
_space_group_IT_number 1
_cell_length_a 5.3995
_cell_length_b 5.3995
_cell_length_c 5.3995
_cell_angle_alpha 90.00
_cell_angle_beta 90.00
_cell_angle_gamma 90.00
loop_
_space_group_symop_operation_xyz
'x,y,z'
loop_
_atom_site_label
_atom_site_type_symbol
_atom_site_fract_x
_atom_site_fract_y
_atom_site_fract_z
Nb1 Nb 0.0000 0.2500 0.5000
Nb2 Nb 0.0000 0.7500 0.5000
Nb3 Nb 0.2500 0.5000 0.0000
Nb4 Nb 0.5000 0.0000 0.2500
Nb5 Nb 0.5000 0.0000 0.7500
Nb6 Nb 0.7500 0.5000 0.0000
H1 H 0.0000 0.5000 0.2500
H2 H 0.0000 0.5000 0.7500
H3 H 0.2500 0.0000 0.5000
H4 H 0.5000 0.2500 0.0000
H5 H 0.5000 0.7500 0.0000
H6 H 0.7500 0.0000 0.5000
Pt1 Pt 0.0000 0.0000 0.0000
Pt2 Pt 0.5000 0.5000 0.5000
# D(E_F), states/eV/atom: 0.791
# Energy, eV per atom: -6.91

***

# LiGaCu5, relaxed, DFT GGA-PBE
data_LiGaCu5
_chemical_formula_sum 'Li1 Ga1 Cu5'
_space_group_name_H-M_alt 'P 1'
_space_group_IT_number 1
_cell_length_a 5.4365
_cell_length_b 5.4365
_cell_length_c 5.4365
_cell_angle_alpha 129.40
_cell_angle_beta 126.22
_cell_angle_gamma 76.96
loop_
_space_group_symop_operation_xyz
'x,y,z'
loop_
_atom_site_label
_atom_site_type_symbol
_atom_site_fract_x
_atom_site_fract_y
_atom_site_fract_z
Li1 Li 0.0000 0.0000 0.0000
Ga1 Ga 0.7919 0.2919 0.5000
Cu1 Cu 0.0032 0.7465 0.2567
Cu2 Cu 0.2743 0.2743 0.0000
Cu3 Cu 0.4898 0.7465 0.7433
Cu4 Cu 0.5197 0.2673 0.7476
Cu5 Cu 0.5197 0.7721 0.2524
# D(E_F), states/eV/atom: 0.354
# Energy, eV per atom: -3.55
# Calculated formation energy, eV/atom: 0.080

***

# ErSb, relaxed, DFT GGA-PBE
data_ErSb
_chemical_formula_sum 'Er1 Sb1'
_space_group_name_H-M_alt 'P 1'
_space_group_IT_number 1
_cell_length_a 3.7697
_cell_length_b 3.7697
_cell_length_c 3.7697
_cell_angle_alpha 90.00
_cell_angle_beta 90.00
_cell_angle_gamma 90.00
loop_
_space_group_symop_operation_xyz
'x,y,z'
loop_
_atom_site_label
_atom_site_type_symbol
_atom_site_fract_x
_atom_site_fract_y
_atom_site_fract_z
Er1 Er 0.0000 0.0000 0.0000
Sb1 Sb 0.5000 0.5000 0.5000
# D(E_F), states/eV/atom: 0.901
# ΔE_f (raw), eV/atom: -0.744
# Energy, eV per atom: -5.09

***

# VCr3Tc, relaxed, DFT GGA-PBE
data_VCr3Tc
_chemical_formula_sum 'V1 Cr3 Tc1'
_space_group_name_H-M_alt 'P 1'
_space_group_IT_number 1
_cell_length_a 4.1795
_cell_length_b 4.1795
_cell_length_c 4.1795
_cell_angle_alpha 90.00
_cell_angle_beta 90.00
_cell_angle_gamma 90.00
loop_
_space_group_symop_operation_xyz
'x,y,z'
loop_
_atom_site_label
_atom_site_type_symbol
_atom_site_fract_x
_atom_site_fract_y
_atom_site_fract_z
V1 V 0.0000 0.0000 0.0000
Cr1 Cr 0.0000 0.0000 0.5000
Cr2 Cr 0.0000 0.5000 0.0000
Cr3 Cr 0.5000 0.0000 0.0000
Tc1 Tc 0.5000 0.5000 0.5000
# D(E_F), states/eV/atom: 1.338
# Energy, eV per atom: -8.35
# Calculated formation energy, eV/atom: 1.323

***

# ScCr2Sb, relaxed, DFT GGA-PBE
data_ScCr2Sb
_chemical_formula_sum 'Sc1 Cr2 Sb1'
_space_group_name_H-M_alt 'P 1'
_space_group_IT_number 1
_cell_length_a 4.2914
_cell_length_b 4.2914
_cell_length_c 3.7779
_cell_angle_alpha 90.00
_cell_angle_beta 90.00
_cell_angle_gamma 90.00
loop_
_space_group_symop_operation_xyz
'x,y,z'
loop_
_atom_site_label
_atom_site_type_symbol
_atom_site_fract_x
_atom_site_fract_y
_atom_site_fract_z
Sc1 Sc 0.0000 0.0000 0.0000
Cr1 Cr 0.0000 0.5000 0.5000
Cr2 Cr 0.5000 0.0000 0.5000
Sb1 Sb 0.5000 0.5000 0.0000
# D(E_F), states/eV/atom: 1.277
# ΔE_f (raw), eV/atom: 0.101
# Energy, eV per atom: -7.32

***

# CaFeCuSi2, relaxed, DFT GGA-PBE
data_CaFeCuSi2
_chemical_formula_sum 'Ca1 Fe1 Cu1 Si2'
_space_group_name_H-M_alt 'P 1'
_space_group_IT_number 1
_cell_length_a 5.0726
_cell_length_b 5.0726
_cell_length_c 4.6534
_cell_angle_alpha 90.00
_cell_angle_beta 90.00
_cell_angle_gamma 90.00
loop_
_space_group_symop_operation_xyz
'x,y,z'
loop_
_atom_site_label
_atom_site_type_symbol
_atom_site_fract_x
_atom_site_fract_y
_atom_site_fract_z
Ca1 Ca 0.0000 0.0000 0.0000
Fe1 Fe 0.5000 0.5000 0.5000
Cu1 Cu 0.0000 0.0000 0.5000
Si1 Si 0.0000 0.5000 0.0000
Si2 Si 0.5000 0.0000 0.0000
# D(E_F), states/eV/atom: 1.327
# ΔE_f (raw), eV/atom: 2.114
# Energy, eV per atom: -2.97

***

# MgS2N, relaxed, DFT GGA-PBE
data_MgS2N
_chemical_formula_sum 'Mg2 S4 N2'
_space_group_name_H-M_alt 'P 1'
_space_group_IT_number 1
_cell_length_a 6.7385
_cell_length_b 6.7385
_cell_length_c 6.7385
_cell_angle_alpha 136.36
_cell_angle_beta 136.36
_cell_angle_gamma 63.42
loop_
_space_group_symop_operation_xyz
'x,y,z'
loop_
_atom_site_label
_atom_site_type_symbol
_atom_site_fract_x
_atom_site_fract_y
_atom_site_fract_z
Mg1 Mg 0.0000 0.0000 0.0000
Mg2 Mg 0.7500 0.2500 0.5000
S1 S 0.2047 0.6250 0.0797
S2 S 0.3750 0.4547 0.5797
S3 S 0.5453 0.1250 0.9203
S4 S 0.8750 0.7953 0.4203
N1 N 0.2500 0.7500 0.5000
N2 N 0.5000 0.5000 0.0000
# D(E_F), states/eV/atom: 0.395
# ΔE_f (raw), eV/atom: 0.443
# Energy, eV per atom: -4.10

***

# Rb2ThBiSe4, relaxed, DFT GGA-PBE
data_Rb2ThBiSe4
_chemical_formula_sum 'Rb2 Th1 Bi1 Se4'
_space_group_name_H-M_alt 'P 1'
_space_group_IT_number 1
_cell_length_a 8.4102
_cell_length_b 4.3493
_cell_length_c 8.4632
_cell_angle_alpha 90.00
_cell_angle_beta 112.89
_cell_angle_gamma 90.00
loop_
_space_group_symop_operation_xyz
'x,y,z'
loop_
_atom_site_label
_atom_site_type_symbol
_atom_site_fract_x
_atom_site_fract_y
_atom_site_fract_z
Rb1 Rb 0.0000 0.0000 0.0000
Rb2 Rb 0.5000 0.5000 0.0000
Th1 Th 0.0000 0.5000 0.5000
Bi1 Bi 0.5000 0.0000 0.5000
Se1 Se 0.1961 0.0000 0.7208
Se2 Se 0.2477 0.5000 0.3264
Se3 Se 0.7523 0.5000 0.6736
Se4 Se 0.8039 0.0000 0.2792
# D(E_F), states/eV/atom: 0.100
# ΔE_f (raw), eV/atom: -1.168
# Energy, eV per atom: -4.56

***

# SrMg3Tl9, relaxed, DFT GGA-PBE
data_SrMg3Tl9
_chemical_formula_sum 'Sr1 Mg3 Tl9'
_space_group_name_H-M_alt 'P 1'
_space_group_IT_number 1
_cell_length_a 8.3782
_cell_length_b 8.3782
_cell_length_c 8.3263
_cell_angle_alpha 97.29
_cell_angle_beta 97.29
_cell_angle_gamma 136.60
loop_
_space_group_symop_operation_xyz
'x,y,z'
loop_
_atom_site_label
_atom_site_type_symbol
_atom_site_fract_x
_atom_site_fract_y
_atom_site_fract_z
Sr1 Sr 0.0000 0.0000 0.0000
Mg1 Mg 0.0000 0.5000 0.0000
Mg2 Mg 0.5000 0.0000 0.0000
Mg3 Mg 0.5000 0.5000 0.5000
Tl1 Tl 0.0000 0.0000 0.5000
Tl2 Tl 0.0056 0.6482 0.6528
Tl3 Tl 0.2968 0.5124 0.7919
Tl4 Tl 0.3518 0.9944 0.3472
Tl5 Tl 0.4876 0.7032 0.2081
Tl6 Tl 0.5124 0.2968 0.7919
Tl7 Tl 0.6482 0.0056 0.6528
Tl8 Tl 0.7032 0.4876 0.2081
Tl9 Tl 0.9944 0.3518 0.3472
# D(E_F), states/eV/atom: 0.509
# Energy, eV per atom: -2.21
# Calculated formation energy, eV/atom: -0.070